Record 1
DFT (SCAN) results for a PBEsol-optimized structure of Sr3FeAs.

Structure (POSCAR):
```
Sr3FeAs
1.0
5.8760 0.0000 0.0000
0.0000 5.8760 0.0000
0.0000 0.0000 5.8760
Sr As Fe
3 1 1
Cartesian
0.0000 2.9380 0.0000
0.0000 0.0000 2.9380
2.9380 0.0000 0.0000
0.0000 0.0000 0.0000
2.9380 2.9380 2.9380
```

## Properties
symmetry	Pm-3m
total DFT energy (no corrections)	-21.10	eV per atom


Record 2
DFT (SCAN) results for a PBEsol-optimized structure of TmAlFe.

Structure (POSCAR):
```
TmAlFe
1.0
5.2513 0.0000 0.0000
-2.6257 4.5689 0.0000
0.0000 0.0000 8.3588
Tm Al Fe
4 4 4
Cartesian
2.6257 1.5369 1.5383
0.0000 3.0922 2.4967
0.0000 3.0922 5.8621
2.6257 1.5369 6.8205
0.0000 1.5024 0.0000
1.2815 0.7520 4.1794
3.9699 0.7520 4.1794
2.6257 3.0678 4.1794
2.6257 4.4819 1.9762
2.6257 4.4819 6.3826
1.3118 3.8430 0.0000
-1.3118 3.8430 0.0000
```

## Properties
symmetry	Amm2
total DFT energy (no corrections)	-26.23	eV per atom


Record 3
DFT (SCAN) results for a PBEsol-optimized structure of CsCaAl2.

Structure (POSCAR):
```
CsCaAl2
1.0
-2.3111 -3.8314 -3.3967
0.6356 -5.4730 1.0955
-4.3830 -3.0388 1.7644
Cs Ca Al
1 1 2
Cartesian
-3.0293 -6.1716 -0.2684
0.0000 0.0000 0.0000
-1.5146 -3.0858 -0.1342
-4.5439 -9.2574 -0.4025
```

## Properties
symmetry	Fm-3m
total DFT energy (no corrections)	-15.26	eV per atom


Record 4
DFT (SCAN) results for a PBEsol-optimized structure of TcAg2SbBr.

Structure (POSCAR):
```
TcAg2SbBr
1.0
-0.2024 4.6223 0.8272
-4.7035 0.0678 -1.5299
-1.5165 -0.8937 4.6228
Sb Br Tc Ag
1 1 1 2
Cartesian
-3.2112 1.8982 1.9600
0.0000 0.0000 0.0000
-0.1012 2.3112 0.4136
-0.7582 -0.4468 2.3114
-2.3518 0.0339 -0.7649
```

## Properties
symmetry	P4/mmm
total DFT energy (no corrections)	-29.73	eV per atom
formation energy (no corrections)	5.89	eV/f.u.